Record 1
Entry from the Alexandria database: a geometry-optimized NaV2Cl structure (GGA-PBE).

Cell: 4.151 4.151 18.422 Å, 90.00 90.00 90.00°
Space group I-42d (No. 122)
Unique sites:
Na  0.000  0.000  0.000 [4 per cell]
V  0.024  0.750  0.625 [8 per cell]
Cl  0.000  0.000  0.500 [4 per cell]

Computed properties:
Spin magnetization: 0.00 Bohr magnetons per cell
ΔE_f (raw): 0.667 eV/atom

Record 2
Entry from the Alexandria database: a geometry-optimized BaZn2Re structure (GGA-PBE).

Cell: 2.983 4.295 7.007 Å, 90.00 95.15 90.00°
Space group Pm (No. 6)
Unique sites:
Ba  0.000  0.000  0.000 [1 per cell]
Zn  0.360  0.000  0.435 [1 per cell]
Zn  0.403  0.500  0.674 [1 per cell]
Re  0.824  0.500  0.363 [1 per cell]

Computed properties:
Spin magnetization: 0.00 Bohr magnetons per cell
Final energy: -3.734 eV/atom

Record 3
Entry from the Alexandria database: a geometry-optimized Nd3Mg3Ag8 structure (GGA-PBE).

Cell: 4.728 9.812 13.618 Å, 90.00 90.00 90.00°
Space group Immm (No. 71)
Unique sites:
Nd  0.000  0.000  0.000 [2 per cell]
Nd  0.000  0.000  0.291 [4 per cell]
Mg  0.000  0.200  0.500 [4 per cell]
Mg  0.000  0.500  0.000 [2 per cell]
Ag  0.000  0.287  0.129 [8 per cell]
Ag  0.000  0.360  0.335 [8 per cell]

Computed properties:
Spin magnetization: 0.00 Bohr magnetons per cell
Final energy: -3.215 eV/atom

Record 4
Entry from the Alexandria database: a geometry-optimized Cs2AsRuCl6 structure (GGA-PBE).

Cell: 7.093 7.093 11.674 Å, 90.00 90.00 90.00°
Space group I4/mmm (No. 139)
Unique sites:
Cs  0.000  0.500  0.250 [4 per cell]
As  0.000  0.000  0.000 [2 per cell]
Ru  0.000  0.000  0.500 [2 per cell]
Cl  0.000  0.000  0.295 [4 per cell]
Cl  0.246  0.246  0.500 [8 per cell]

Computed properties:
Spin magnetization: 4.22 Bohr magnetons per cell
ΔE_f (raw): -0.931 eV/atom

Record 5
Entry from the Alexandria database: a geometry-optimized AlV2ZnSe structure (GGA-PBE).

Cell: 4.564 4.564 4.803 Å, 90.00 90.00 90.00°
Space group P4/mmm (No. 123)
Unique sites:
Al  0.000  0.000  0.000 [1 per cell]
V  0.000  0.500  0.500 [2 per cell]
Zn  0.500  0.500  0.000 [1 per cell]
Se  0.000  0.000  0.500 [1 per cell]

Computed properties:
Spin magnetization: 3.21 Bohr magnetons per cell
ΔE_f (raw): 0.742 eV/atom

Record 6
Entry from the Alexandria database: a geometry-optimized Pm2Sm6DyY structure (GGA-PBE).

Cell: 9.150 15.365 9.751 Å, 90.00 98.11 90.00°
Space group C2/c (No. 15)
Unique sites:
Pm  0.248  0.053  0.042 [8 per cell]
Sm  0.061  0.186  0.445 [8 per cell]
Sm  0.105  0.395  0.619 [8 per cell]
Sm  0.204  0.223  0.812 [8 per cell]
Dy  0.000  0.409  0.250 [4 per cell]
Y  0.000  0.021  0.750 [4 per cell]

Computed properties:
Spin magnetization: 0.00 Bohr magnetons per cell
Final energy: -4.774 eV/atom

Record 7
Entry from the Alexandria database: a geometry-optimized Pm2NdHg2 structure (GGA-PBE).

Cell: 5.3006 5.3006 6.4800 Å, 90.00 90.00 120.00°
Space group P-3m1 (No. 164)
Unique sites:
Pm  0.3333  0.6667  0.1552 [2 per cell]
Nd  0.0000  0.0000  0.5000 [1 per cell]
Hg  0.3333  0.6667  0.6651 [2 per cell]

Computed properties:
Spin magnetization: 0.98 Bohr magnetons per cell
Final energy: -3.221 eV/atom

Record 8
Entry from the Alexandria database: a geometry-optimized PrNd4Sc structure (GGA-PBE).

Cell: 6.271 10.858 6.252 Å, 90.00 109.62 90.00°
Space group C2/m (No. 12)
Unique sites:
Pr  0.000  0.000  0.000 [2 per cell]
Nd  0.000  0.168  0.500 [4 per cell]
Nd  0.000  0.337  0.000 [4 per cell]
Sc  0.000  0.500  0.500 [2 per cell]

Computed properties:
Spin magnetization: 0.00 Bohr magnetons per cell
Final energy: -4.992 eV/atom

Record 9
Entry from the Alexandria database: a geometry-optimized ZrCu2PdBr structure (GGA-PBE).

Cell: 5.035 5.035 5.040 Å, 90.00 90.00 90.00°
Space group P4/mmm (No. 123)
Unique sites:
Zr  0.000  0.000  0.000 [1 per cell]
Cu  0.000  0.500  0.000 [2 per cell]
Pd  0.000  0.000  0.500 [1 per cell]
Br  0.500  0.500  0.500 [1 per cell]

Computed properties:
Spin magnetization: 0.00 Bohr magnetons per cell
ΔE_f (raw): 1.040 eV/atom

Record 10
Entry from the Alexandria database: a geometry-optimized Na4Th3PdSe8 structure (GGA-PBE).

Cell: 14.700 8.399 8.526 Å, 90.00 124.98 90.00°
Space group C2/m (No. 12)
Unique sites:
Na  0.000  0.000  0.000 [2 per cell]
Na  0.000  0.500  0.000 [2 per cell]
Na  0.250  0.250  0.000 [4 per cell]
Th  0.000  0.000  0.500 [2 per cell]
Th  0.250  0.250  0.500 [4 per cell]
Pd  0.000  0.500  0.500 [2 per cell]
Se  0.008  0.250  0.273 [8 per cell]
Se  0.247  0.000  0.744 [4 per cell]
Se  0.249  0.500  0.735 [4 per cell]

Computed properties:
Spin magnetization: 0.00 Bohr magnetons per cell
ΔE_f (raw): -1.334 eV/atom

Record 11
Entry from the Alexandria database: a geometry-optimized Li3Sn2Ge2 structure (GGA-PBE).

Cell: 9.778 4.371 6.701 Å, 90.00 104.51 90.00°
Space group C2/m (No. 12)
Unique sites:
Li  0.000  0.000  0.000 [2 per cell]
Li  0.136  0.000  0.437 [4 per cell]
Sn  0.112  0.500  0.744 [4 per cell]
Ge  0.169  0.500  0.184 [4 per cell]

Computed properties:
Spin magnetization: 0.00 Bohr magnetons per cell
Final energy: -3.463 eV/atom

Record 12
Entry from the Alexandria database: a geometry-optimized K2BaNi structure (GGA-PBE).

Cell: 8.606 8.606 8.606 Å, 90.00 90.00 90.00°
Space group Fm-3m (No. 225)
Unique sites:
K  0.250  0.250  0.250 [8 per cell]
Ba  0.000  0.000  0.000 [4 per cell]
Ni  0.000  0.000  0.500 [4 per cell]

Computed properties:
Spin magnetization: 0.00 Bohr magnetons per cell
Final energy: -1.800 eV/atom

Record 13
Entry from the Alexandria database: a geometry-optimized Na2BiSb2 structure (GGA-PBE).

Cell: 4.888 4.888 12.924 Å, 90.00 90.00 90.00°
Space group I4/mmm (No. 139)
Unique sites:
Na  0.000  0.500  0.250 [4 per cell]
Bi  0.000  0.000  0.000 [2 per cell]
Sb  0.000  0.000  0.395 [4 per cell]

Computed properties:
Spin magnetization: 0.00 Bohr magnetons per cell
ΔE_f (raw): 0.048 eV/atom

Record 14
Entry from the Alexandria database: a geometry-optimized Th6MnHg2 structure (GGA-PBE).

Cell: 8.7770 8.7770 3.7646 Å, 90.00 90.00 120.00°
Space group P-62m (No. 189)
Unique sites:
Th  0.0000  0.3928  0.0000 [3 per cell]
Th  0.0000  0.7644  0.5000 [3 per cell]
Mn  0.0000  0.0000  0.0000 [1 per cell]
Hg  0.3333  0.6667  0.5000 [2 per cell]

Computed properties:
Spin magnetization: 0.00 Bohr magnetons per cell
Final energy: -6.145 eV/atom

Record 15
Entry from the Alexandria database: a geometry-optimized CaNd2Ho structure (GGA-PBE).

Cell: 3.6574 3.6574 36.5685 Å, 90.00 90.00 120.00°
Space group R-3m (No. 166, hexagonal axes)
Unique sites:
Ca  0.0000  0.0000  0.0000 [3 per cell]
Nd  0.0000  0.0000  0.2450 [6 per cell]
Ho  0.0000  0.0000  0.5000 [3 per cell]

Computed properties:
Spin magnetization: 0.00 Bohr magnetons per cell
Final energy: -3.994 eV/atom

Record 16
Entry from the Alexandria database: a geometry-optimized CePrNdHg structure (GGA-PBE).

Cell: 7.744 7.744 7.744 Å, 90.00 90.00 90.00°
Space group F-43m (No. 216)
Unique sites:
Ce  0.000  0.000  0.000 [4 per cell]
Pr  0.250  0.250  0.750 [4 per cell]
Nd  0.250  0.250  0.250 [4 per cell]
Hg  0.000  0.000  0.500 [4 per cell]

Computed properties:
Spin magnetization: 9.58 Bohr magnetons per cell
Final energy: -3.959 eV/atom

Record 17
Entry from the Alexandria database: a geometry-optimized Er4InCu structure (GGA-PBE).

Cell: 7.169 7.394 6.628 Å, 90.00 95.90 90.00°
Space group P2_1/c (No. 14)
Unique sites:
Er  0.147  0.170  0.176 [4 per cell]
Er  0.327  0.645  0.086 [4 per cell]
In  0.500  0.000  0.000 [2 per cell]
Cu  0.000  0.000  0.500 [2 per cell]

Computed properties:
Spin magnetization: 0.00 Bohr magnetons per cell
Final energy: -4.195 eV/atom

Record 18
Entry from the Alexandria database: a geometry-optimized Ti2TlZn2 structure (GGA-PBE).

Cell: 7.714 7.714 3.134 Å, 90.00 90.00 90.00°
Space group P4/mbm (No. 127)
Unique sites:
Ti  0.119  0.381  0.000 [4 per cell]
Tl  0.000  0.000  0.000 [2 per cell]
Zn  0.176  0.676  0.500 [4 per cell]

Computed properties:
Spin magnetization: 3.13 Bohr magnetons per cell
Final energy: -4.002 eV/atom

Record 19
Entry from the Alexandria database: a geometry-optimized FeHgPd5 structure (GGA-PBE).

Cell: 5.182 6.987 7.271 Å, 90.00 90.00 90.00°
Space group Imm2 (No. 44)
Unique sites:
Fe  0.000  0.000  0.000 [2 per cell]
Hg  0.000  0.500  0.860 [2 per cell]
Pd  0.000  0.186  0.299 [4 per cell]
Pd  0.000  0.500  0.505 [2 per cell]
Pd  0.241  0.000  0.681 [4 per cell]

Computed properties:
Spin magnetization: 9.37 Bohr magnetons per cell
Final energy: -4.617 eV/atom

Record 20
Entry from the Alexandria database: a geometry-optimized Tb2HgO structure (GGA-PBE).

Cell: 7.698 10.385 4.469 Å, 90.00 90.00 90.00°
Space group Cmmm (No. 65)
Unique sites:
Tb  0.000  0.000  0.000 [2 per cell]
Tb  0.000  0.500  0.500 [2 per cell]
Tb  0.250  0.250  0.000 [4 per cell]
Hg  0.000  0.205  0.500 [4 per cell]
O  0.201  0.500  0.000 [4 per cell]

Computed properties:
Spin magnetization: 0.00 Bohr magnetons per cell
ΔE_f (raw): -1.342 eV/atom